Computed, not measured: a geometry-optimized BaRe2P structure at the PBE level of DFT.

Computed properties:
**Energy relative to the elements**: 880 meV/atom
**Crystal system**: orthorhombic
**Density**: 11.767 Mg/m³
**Magnetization**: 0.000 μB/f.u.

Lattice parameters (Å, degrees): 3.303 5.169 8.938 90.00 90.00 90.00
Space group Cmmm (No. 65)
One atom of each set of equivalent atoms:
Ba: 0.000 0.000 0.000 (multiplicity 2)
Re: 0.000 0.500 0.319 (multiplicity 4)
P: 0.000 0.000 0.500 (multiplicity 2)